# 1
BPd2F | GGA-PBE | optimized geometry

Results
Relative energy among the computed polymorphs = 21.8 kJ/mol of atoms
Total energy = -4.83 eV/atom
Energy relative to the elements, uncorrected = -96.9 meV/atom

Cell and atoms, written as POSCAR:
```
BPd2F
1.0
0.000 2.822 2.822
2.822 0.000 2.822
2.822 2.822 0.000
B Pd F
1 2 1
Cartesian
0.000 0.000 0.000 B
1.411 1.411 1.411 Pd
4.233 4.233 4.233 Pd
2.822 2.822 2.822 F
```



# 2
RbB2PdF8 | GGA-PBE | optimized geometry

Results
Total energy = -5.38 eV/atom
Energy relative to the elements, uncorrected = -2510.0 meV/atom

Cell and atoms, written as POSCAR:
```
RbB2PdF8
1.0
2.599 1.501 7.791
-2.599 1.501 7.791
0.000 -3.001 7.791
Rb B Pd F
1 2 1 8
Cartesian
0.000 0.000 0.000 Rb
0.000 0.000 5.811 B
0.000 0.000 17.562 B
0.000 0.000 11.687 Pd
-2.003 -0.296 10.227 F
-0.745 -1.883 13.147 F
0.000 0.000 7.233 F
-1.258 1.587 13.147 F
1.258 -1.587 10.227 F
0.000 0.000 16.141 F
0.745 1.883 10.227 F
2.003 0.296 13.147 F
```



# 3
BPdRhF2 | GGA-PBE | optimized geometry

Results
Total energy = -4.51 eV/atom
Energy relative to the elements, uncorrected = 81.2 meV/atom

Cell and atoms, written as POSCAR:
```
BPdRhF2
1.0
3.599 0.000 0.000
0.000 3.599 0.000
0.000 0.000 4.785
B Pd Rh F
1 1 1 2
Cartesian
0.000 0.000 0.000 B
0.000 0.000 2.393 Pd
1.799 1.799 2.393 Rh
0.000 1.799 0.000 F
1.799 0.000 0.000 F
```



# 4
B2SbPdF | GGA-PBE | optimized geometry

Results
Total energy = -4.45 eV/atom
Energy relative to the elements, uncorrected = 462.6 meV/atom

Cell and atoms, written as POSCAR:
```
B2SbPdF
1.0
3.974 0.000 0.000
0.000 3.974 0.000
0.000 0.000 5.594
B Sb Pd F
2 1 1 1
Cartesian
0.000 1.987 0.000 B
1.987 0.000 0.000 B
0.000 0.000 2.797 Sb
0.000 0.000 0.000 Pd
1.987 1.987 2.797 F
```



# 5
TcB2PdF | GGA-PBE | optimized geometry

Results
Total energy = -5.17 eV/atom
Energy relative to the elements, uncorrected = 988.2 meV/atom

Cell and atoms, written as POSCAR:
```
TcB2PdF
1.0
3.934 0.000 0.000
0.000 3.934 0.000
0.000 0.000 5.503
Tc B Pd F
1 2 1 1
Cartesian
0.000 0.000 0.000 Tc
0.000 1.967 2.751 B
1.967 0.000 2.751 B
0.000 0.000 2.751 Pd
1.967 1.967 0.000 F
```



# 6
TlBPdF6 | GGA-PBE | optimized geometry

Results
Total energy = -4.56 eV/atom
Energy relative to the elements, uncorrected = -1730.9 meV/atom

Cell and atoms, written as POSCAR:
```
TlBPdF6
1.0
5.269 0.000 0.000
-2.635 4.563 0.000
0.000 0.000 5.869
Tl B Pd F
1 1 1 6
Cartesian
0.000 0.000 0.000 Tl
2.635 1.521 2.934 B
0.000 3.042 2.934 Pd
1.981 0.353 3.889 F
1.296 1.539 1.980 F
3.288 0.353 1.980 F
1.950 2.671 3.889 F
3.973 1.539 3.889 F
3.319 2.671 1.980 F
```



Number 1: calculated volume 11.2 Å³/atom. Number 2: calculated volume 15.2 Å³/atom. Number 3: calculated volume 12.4 Å³/atom. Number 4: calculated volume 17.7 Å³/atom. Number 5: calculated volume 17.0 Å³/atom. Number 6: calculated volume 15.7 Å³/atom.